# 1
# Nb3AgF | Alexandria | PBE-GGA | optimized geometry
# **Total magnetization**: 0.000 μB/f.u.
# **Formation energy (no corrections)**: 9.18 eV per formula unit
# **Polymorph energy (0 for the lowest one)**: 1728 meV per atom
# **Space-group type**: Pm-3m
data_Nb3AgF
_chemical_formula_sum 'Nb3 Ag1 F1'
_symmetry_space_group_name_H-M 'P 1'
_symmetry_Int_Tables_number 1
_cell_length_a 4.984
_cell_length_b 4.984
_cell_length_c 4.984
_cell_angle_alpha 90.00
_cell_angle_beta 90.00
_cell_angle_gamma 90.00
loop_
_symmetry_equiv_pos_as_xyz
'x,y,z'
loop_
_atom_site_label
_atom_site_type_symbol
_atom_site_fract_x
_atom_site_fract_y
_atom_site_fract_z
Nb1 Nb 0.000 0.500 0.000
Nb2 Nb 0.500 0.000 0.000
Nb3 Nb 0.000 0.000 0.500
F1 F 0.500 0.500 0.500
Ag1 Ag 0.000 0.000 0.000

=====

# 2
# Nb2AgOsF | Alexandria | PBE-GGA | optimized geometry
# **Total magnetization**: 0.001 μB/f.u.
# **Formation energy (no corrections)**: 10.77 eV per formula unit
# **Space-group type**: P4/mmm
data_Nb2AgOsF
_chemical_formula_sum 'Nb2 Ag1 Os1 F1'
_symmetry_space_group_name_H-M 'P 1'
_symmetry_Int_Tables_number 1
_cell_length_a 4.973
_cell_length_b 4.774
_cell_length_c 4.973
_cell_angle_alpha 90.00
_cell_angle_beta 90.00
_cell_angle_gamma 90.00
loop_
_symmetry_equiv_pos_as_xyz
'x,y,z'
loop_
_atom_site_label
_atom_site_type_symbol
_atom_site_fract_x
_atom_site_fract_y
_atom_site_fract_z
Os1 Os 0.000 0.500 0.000
Nb1 Nb 0.500 0.000 0.000
Nb2 Nb 0.000 0.000 0.500
F1 F 0.500 0.500 0.500
Ag1 Ag 0.000 0.000 0.000

=====

# 3
# Nb2AgPbF | Alexandria | PBE-GGA | optimized geometry
# **Total magnetization**: 0.000 μB/f.u.
# **Formation energy (no corrections)**: 0.64 eV per formula unit
# **Space-group type**: P4/mmm
data_Nb2AgPbF
_chemical_formula_sum 'Nb2 Ag1 Pb1 F1'
_symmetry_space_group_name_H-M 'P 1'
_symmetry_Int_Tables_number 1
_cell_length_a 4.266
_cell_length_b 5.275
_cell_length_c 4.266
_cell_angle_alpha 90.00
_cell_angle_beta 90.00
_cell_angle_gamma 90.00
loop_
_symmetry_equiv_pos_as_xyz
'x,y,z'
loop_
_atom_site_label
_atom_site_type_symbol
_atom_site_fract_x
_atom_site_fract_y
_atom_site_fract_z
F1 F 0.000 0.000 0.000
Ag1 Ag 0.500 0.500 0.500
Nb1 Nb 0.000 0.000 0.500
Nb2 Nb 0.500 0.000 0.000
Pb1 Pb 0.000 0.500 0.000